(1)
{
  "formula": "Dy2MgZr",
  "functional": "PBE",
  "state": "relaxed",
  "lattice_angstrom": [[3.4224, 0.0000, 0.0000], [0.0000, 3.4224, 0.0000], [0.0000, 0.0000, 9.3010]],
  "species": ["Zr", "Mg", "Dy", "Dy"],
  "frac_coords": [[0.5000, 0.5000, 0.5000], [0.5000, 0.5000, 0.0000], [0.0000, 0.0000, 0.7446], [0.0000, 0.0000, 0.2554]],
  "volume_a3_per_cell": 108.94,
  "polymorph_energy_mev_per_atom": 0,
  "magnetic_moment_mub_per_cell": 0.00,
  "space_group": "P4/mmm",
  "delta_e_f_mev_per_atom": -8,
  "total_energy_ev_per_atom": -4.844
}

=====

(2)
{
  "formula": "Dy2MgZr",
  "functional": "PBE",
  "state": "relaxed",
  "lattice_angstrom": [[3.3862, 0.0000, 0.0000], [1.6931, 2.9325, 0.0000], [1.6931, 0.9775, 11.0479]],
  "species": ["Dy", "Zr", "Dy", "Mg"],
  "frac_coords": [[0.7532, 0.7532, 0.7404], [0.5000, 0.5000, 0.5000], [0.2468, 0.2468, 0.2596], [0.0000, 0.0000, 0.0000]],
  "volume_a3_per_cell": 109.71,
  "polymorph_energy_mev_per_atom": 57,
  "magnetic_moment_mub_per_cell": 0.00,
  "space_group": "R-3m",
  "delta_e_f_mev_per_atom": 49,
  "total_energy_ev_per_atom": -4.787
}

=====

(3)
{
  "formula": "DyMgZr2",
  "functional": "PBE",
  "state": "relaxed",
  "lattice_angstrom": [[4.6458, 0.0000, 0.0000], [0.0000, 4.5714, 0.0000], [0.0000, 0.0000, 4.5714]],
  "species": ["Mg", "Zr", "Zr", "Dy"],
  "frac_coords": [[0.5000, 0.5000, 0.5000], [0.0000, 0.5000, 0.0000], [0.0000, 0.0000, 0.5000], [0.5000, 0.0000, 0.0000]],
  "volume_a3_per_cell": 97.09,
  "polymorph_energy_mev_per_atom": 0,
  "magnetic_moment_mub_per_cell": 0.00,
  "space_group": "P4/mmm",
  "delta_e_f_mev_per_atom": 88,
  "total_energy_ev_per_atom": -5.735
}

=====

(4)
{
  "formula": "Dy2MgZr",
  "functional": "PBE",
  "state": "relaxed",
  "lattice_angstrom": [[3.3796, 0.0026, 0.0009], [1.6920, 2.9255, 0.0009], [1.6934, 0.9777, 11.1020]],
  "species": ["Dy", "Mg", "Zr", "Dy"],
  "frac_coords": [[0.2539, 0.2539, 0.2388], [0.4999, 0.4999, 0.5002], [0.6668, 0.6668, 0.9998], [0.0795, 0.0795, 0.7612]],
  "volume_a3_per_cell": 109.71,
  "polymorph_energy_mev_per_atom": 68,
  "magnetic_moment_mub_per_cell": 0.00,
  "space_group": "R3m",
  "delta_e_f_mev_per_atom": 60,
  "total_energy_ev_per_atom": -4.776
}

=====

(5)
{
  "formula": "DyMgZr2",
  "functional": "PBE",
  "state": "relaxed",
  "lattice_angstrom": [[3.2475, -0.0010, -0.0002], [1.6229, 2.8130, -0.0002], [1.6229, 0.9370, 10.8466]],
  "species": ["Zr", "Mg", "Dy", "Zr"],
  "frac_coords": [[0.2513, 0.2513, 0.2457], [0.6664, 0.6664, 0.0006], [0.5001, 0.5001, 0.5000], [0.0822, 0.0822, 0.7537]],
  "volume_a3_per_cell": 99.10,
  "polymorph_energy_mev_per_atom": 34,
  "magnetic_moment_mub_per_cell": 0.00,
  "space_group": "R3m",
  "delta_e_f_mev_per_atom": 122,
  "total_energy_ev_per_atom": -5.701
}

=====

(6)
{
  "formula": "Dy2MgZr",
  "functional": "PBE",
  "state": "relaxed",
  "lattice_angstrom": [[-1.6184, 3.2677, 2.9391], [-4.4586, -1.4143, -0.8826], [0.2717, -3.1030, 3.5995]],
  "species": ["Zr", "Dy", "Mg", "Dy"],
  "frac_coords": [[0.5000, 0.5000, 0.5000], [0.0000, 0.0000, 0.5000], [0.5000, 0.0000, 0.0000], [0.0000, 0.5000, 0.0000]],
  "volume_a3_per_cell": 106.12,
  "polymorph_energy_mev_per_atom": 95,
  "magnetic_moment_mub_per_cell": 0.00,
  "space_group": "P4/mmm",
  "delta_e_f_mev_per_atom": 88,
  "total_energy_ev_per_atom": -4.749
}